! Li2Pr2Cd3 (PBE-GGA, optimized geometry); values from VASP
&SYSTEM
  ibrav = 0, nat = 14, ntyp = 3
/
ATOMIC_SPECIES
Li 6.94 Li.upf
Pr 140.91 Pr.upf
Cd 112.41 Cd.upf
CELL_PARAMETERS angstrom
10.427 0.000 0.000
0.000 4.683 0.000
-2.960 0.000 6.921
ATOMIC_POSITIONS angstrom
Li 0.871 0.000 1.453
Li 1.383 2.342 5.468
Li 6.084 2.342 1.453
Li 6.597 0.000 5.468
Pr -0.803 0.000 5.306
Pr 3.057 2.342 1.615
Pr 4.410 2.342 5.306
Pr 8.270 0.000 1.615
Cd 0.000 2.342 0.000
Cd 0.026 2.342 3.005
Cd 2.228 0.000 3.915
Cd 5.213 0.000 0.000
Cd 5.240 0.000 3.005
Cd 7.441 2.342 3.915
! **Crystal system**: monoclinic
! **Formation energy from the elements**: -0.22 eV per atom
! **Symmetry**: C2/m (12)
! **Uncorrected energy**: -2.521 eV per atom